(i)
# HgC3F (PBE, optimized geometry)
# Crystal system: cubic
# Mass density, g/cm3: 7.0
# Total moment, μB per cell: 0.00
data_HgC3F
_cell_length_a 3.9258
_cell_length_b 3.9258
_cell_length_c 3.9258
_cell_angle_alpha 90.00
_cell_angle_beta 90.00
_cell_angle_gamma 90.00
_symmetry_space_group_name_H-M 'P 1'
_symmetry_Int_Tables_number 1
loop_
_symmetry_equiv_pos_as_xyz
'x,y,z'
loop_
_atom_site_label
_atom_site_type_symbol
_atom_site_fract_x
_atom_site_fract_y
_atom_site_fract_z
C1 C 0.0000 0.0000 0.5000
C2 C 0.5000 0.0000 0.0000
C3 C 0.0000 0.5000 0.0000
Hg1 Hg 0.5000 0.5000 0.5000
F1 F 0.0000 0.0000 0.0000

***

(ii)
# HgC3F (PBE, optimized geometry)
# Crystal system: cubic
# Mass density, g/cm3: 5.1
# Total moment, μB per cell: 3.58
data_HgC3F
_cell_length_a 4.3675
_cell_length_b 4.3675
_cell_length_c 4.3675
_cell_angle_alpha 90.00
_cell_angle_beta 90.00
_cell_angle_gamma 90.00
_symmetry_space_group_name_H-M 'P 1'
_symmetry_Int_Tables_number 1
loop_
_symmetry_equiv_pos_as_xyz
'x,y,z'
loop_
_atom_site_label
_atom_site_type_symbol
_atom_site_fract_x
_atom_site_fract_y
_atom_site_fract_z
F1 F 0.5000 0.5000 0.5000
C1 C 0.5000 0.0000 0.0000
C2 C 0.0000 0.0000 0.5000
C3 C 0.0000 0.5000 0.0000
Hg1 Hg 0.0000 0.0000 0.0000

***

Short version: (i), (ii), most stable first.

***

(i)
# HgCF3 (PBE, optimized geometry)
# Crystal system: cubic
# Mass density, g/cm3: 5.1
# Total moment, μB per cell: 1.27
data_HgCF3
_cell_length_a 4.4519
_cell_length_b 4.4519
_cell_length_c 4.4519
_cell_angle_alpha 90.00
_cell_angle_beta 90.00
_cell_angle_gamma 90.00
_symmetry_space_group_name_H-M 'P 1'
_symmetry_Int_Tables_number 1
loop_
_symmetry_equiv_pos_as_xyz
'x,y,z'
loop_
_atom_site_label
_atom_site_type_symbol
_atom_site_fract_x
_atom_site_fract_y
_atom_site_fract_z
F1 F 0.5000 0.0000 0.0000
F2 F 0.0000 0.5000 0.0000
F3 F 0.0000 0.0000 0.5000
C1 C 0.5000 0.5000 0.5000
Hg1 Hg 0.0000 0.0000 0.0000

***

(ii)
# HgCF3 (PBE, optimized geometry)
# Crystal system: cubic
# Mass density, g/cm3: 7.2
# Total moment, μB per cell: 0.00
data_HgCF3
_cell_length_a 3.9676
_cell_length_b 3.9676
_cell_length_c 3.9676
_cell_angle_alpha 90.00
_cell_angle_beta 90.00
_cell_angle_gamma 90.00
_symmetry_space_group_name_H-M 'P 1'
_symmetry_Int_Tables_number 1
loop_
_symmetry_equiv_pos_as_xyz
'x,y,z'
loop_
_atom_site_label
_atom_site_type_symbol
_atom_site_fract_x
_atom_site_fract_y
_atom_site_fract_z
F1 F 0.0000 0.5000 0.0000
F2 F 0.5000 0.0000 0.0000
F3 F 0.0000 0.0000 0.5000
Hg1 Hg 0.5000 0.5000 0.5000
C1 C 0.0000 0.0000 0.0000

***

Short version: (ii), (i), most stable first.

***

(i)
# Ho2CF2 (PBE, optimized geometry)
# Crystal system: monoclinic
# Mass density, g/cm3: 7.3
# Total moment, μB per cell: 0.00
data_Ho2CF2
_cell_length_a 3.5524
_cell_length_b 3.5547
_cell_length_c 8.1593
_cell_angle_alpha 88.91
_cell_angle_beta 77.43
_cell_angle_gamma 60.02
_symmetry_space_group_name_H-M 'P 1'
_symmetry_Int_Tables_number 1
loop_
_symmetry_equiv_pos_as_xyz
'x,y,z'
loop_
_atom_site_label
_atom_site_type_symbol
_atom_site_fract_x
_atom_site_fract_y
_atom_site_fract_z
F1 F 0.4626 0.2550 0.8197
F2 F 0.5374 0.7450 0.1803
Ho1 Ho 0.2235 0.8808 0.6721
Ho2 Ho 0.7765 0.1192 0.3279
C1 C 0.0000 0.5000 0.5000

***

(ii)
# Ho2CF2 (PBE, optimized geometry)
# Crystal system: trigonal
# Mass density, g/cm3: 8.6
# Total moment, μB per cell: 0.00
data_Ho2CF2
_cell_length_a 3.6404
_cell_length_b 3.6404
_cell_length_c 6.4243
_cell_angle_alpha 90.00
_cell_angle_beta 90.00
_cell_angle_gamma 120.00
_symmetry_space_group_name_H-M 'P 1'
_symmetry_Int_Tables_number 1
loop_
_symmetry_equiv_pos_as_xyz
'x,y,z'
loop_
_atom_site_label
_atom_site_type_symbol
_atom_site_fract_x
_atom_site_fract_y
_atom_site_fract_z
Ho1 Ho 0.6667 0.3333 0.7902
Ho2 Ho 0.3333 0.6667 0.2098
F1 F 0.6667 0.3333 0.3824
F2 F 0.3333 0.6667 0.6176
C1 C 0.0000 0.0000 0.0000

***

Short version: (ii), (i), most stable first.

***

(i)
# InC2F (PBE, optimized geometry)
# Crystal system: cubic
# Mass density, g/cm3: 5.7
# Total moment, μB per cell: 0.00
data_InC2F
_cell_length_a 4.0237
_cell_length_b 4.0237
_cell_length_c 4.0237
_cell_angle_alpha 60.00
_cell_angle_beta 60.00
_cell_angle_gamma 60.00
_symmetry_space_group_name_H-M 'P 1'
_symmetry_Int_Tables_number 1
loop_
_symmetry_equiv_pos_as_xyz
'x,y,z'
loop_
_atom_site_label
_atom_site_type_symbol
_atom_site_fract_x
_atom_site_fract_y
_atom_site_fract_z
In1 In 0.5000 0.5000 0.5000
C1 C 0.7500 0.7500 0.7500
C2 C 0.2500 0.2500 0.2500
F1 F 0.0000 0.0000 0.0000

***

(ii)
# InC2F (PBE, optimized geometry)
# Crystal system: tetragonal
# Mass density, g/cm3: 4.8
# Total moment, μB per cell: 0.00
data_InC2F
_cell_length_a 3.0452
_cell_length_b 3.0452
_cell_length_c 11.9220
_cell_angle_alpha 82.66
_cell_angle_beta 82.66
_cell_angle_gamma 90.00
_symmetry_space_group_name_H-M 'P 1'
_symmetry_Int_Tables_number 1
loop_
_symmetry_equiv_pos_as_xyz
'x,y,z'
loop_
_atom_site_label
_atom_site_type_symbol
_atom_site_fract_x
_atom_site_fract_y
_atom_site_fract_z
F1 F 0.2500 0.7500 0.5000
F2 F 0.5000 0.5000 0.0000
C1 C 0.8750 0.6250 0.7500
C2 C 0.3750 0.6250 0.7500
C3 C 0.3750 0.1250 0.2500
C4 C 0.3750 0.6250 0.2500
In1 In 0.7500 0.2500 0.5000
In2 In 0.0000 0.0000 0.0000

***

Short version: (ii), (i), most stable first.

***

(i)
# InCNF2 (PBE, optimized geometry)
# Crystal system: tetragonal
# Mass density, g/cm3: 5.1
# Total moment, μB per cell: 0.00
data_InCNF2
_cell_length_a 4.7869
_cell_length_b 4.7869
_cell_length_c 2.5200
_cell_angle_alpha 90.00
_cell_angle_beta 90.00
_cell_angle_gamma 90.00
_symmetry_space_group_name_H-M 'P 1'
_symmetry_Int_Tables_number 1
loop_
_symmetry_equiv_pos_as_xyz
'x,y,z'
loop_
_atom_site_label
_atom_site_type_symbol
_atom_site_fract_x
_atom_site_fract_y
_atom_site_fract_z
F1 F 0.5000 0.0000 0.0000
F2 F 0.0000 0.5000 0.0000
N1 N 0.0000 0.0000 0.5000
C1 C 0.0000 0.0000 0.0000
In1 In 0.5000 0.5000 0.5000

***

(ii)
# InCNF2 (PBE, optimized geometry)
# Crystal system: tetragonal
# Mass density, g/cm3: 3.6
# Total moment, μB per cell: 0.00
data_InCNF2
_cell_length_a 4.3354
_cell_length_b 4.3354
_cell_length_c 4.3879
_cell_angle_alpha 90.00
_cell_angle_beta 90.00
_cell_angle_gamma 90.00
_symmetry_space_group_name_H-M 'P 1'
_symmetry_Int_Tables_number 1
loop_
_symmetry_equiv_pos_as_xyz
'x,y,z'
loop_
_atom_site_label
_atom_site_type_symbol
_atom_site_fract_x
_atom_site_fract_y
_atom_site_fract_z
F1 F 0.0000 0.5000 0.0000
F2 F 0.5000 0.0000 0.0000
N1 N 0.0000 0.0000 0.5000
C1 C 0.5000 0.5000 0.5000
In1 In 0.0000 0.0000 0.0000

***

Short version: (i), (ii), most stable first.

***

(i)
# Ir2CF2 (PBE, optimized geometry)
# Crystal system: tetragonal
# Mass density, g/cm3: 11.3
# Total moment, μB per cell: 0.00
data_Ir2CF2
_cell_length_a 7.2266
_cell_length_b 7.2266
_cell_length_c 2.4359
_cell_angle_alpha 90.00
_cell_angle_beta 90.00
_cell_angle_gamma 90.00
_symmetry_space_group_name_H-M 'P 1'
_symmetry_Int_Tables_number 1
loop_
_symmetry_equiv_pos_as_xyz
'x,y,z'
loop_
_atom_site_label
_atom_site_type_symbol
_atom_site_fract_x
_atom_site_fract_y
_atom_site_fract_z
Ir1 Ir 0.7129 0.7871 0.5000
Ir2 Ir 0.2871 0.2129 0.5000
Ir3 Ir 0.2129 0.7129 0.5000
Ir4 Ir 0.7871 0.2871 0.5000
C1 C 0.5000 0.5000 0.0000
C2 C 0.0000 0.0000 0.0000
F1 F 0.3904 0.8904 0.0000
F2 F 0.8904 0.6096 0.0000
F3 F 0.1096 0.3904 0.0000
F4 F 0.6096 0.1096 0.0000

***

(ii)
# Ir2CF2 (PBE, optimized geometry)
# Crystal system: tetragonal
# Mass density, g/cm3: 11.8
# Total moment, μB per cell: 1.46
data_Ir2CF2
_cell_length_a 4.2112
_cell_length_b 4.2112
_cell_length_c 4.5481
_cell_angle_alpha 62.42
_cell_angle_beta 62.42
_cell_angle_gamma 90.00
_symmetry_space_group_name_H-M 'P 1'
_symmetry_Int_Tables_number 1
loop_
_symmetry_equiv_pos_as_xyz
'x,y,z'
loop_
_atom_site_label
_atom_site_type_symbol
_atom_site_fract_x
_atom_site_fract_y
_atom_site_fract_z
F1 F 0.3512 0.3512 0.2976
F2 F 0.6488 0.6488 0.7024
Ir1 Ir 0.2500 0.7500 0.5000
Ir2 Ir 0.7500 0.2500 0.5000
C1 C 0.0000 0.0000 0.0000

***

Short version: (i), (ii), most stable first.